VZn2SbO6 (GGA+U, optimized geometry); volume = 10.90 Å³/atom; total energy = -5.92 eV/atom; M_tot = 2.00 μB/f.u.
1.0
-3.930 -3.416 -0.937
2.372 -3.487 3.230
-3.949 2.891 6.021
O Zn V Sb
12 4 2 2
direct
0.177 0.826 0.934
0.109 0.580 0.250
0.177 0.826 0.566
0.629 0.919 0.750
0.823 0.174 0.066
0.371 0.081 0.250
0.665 0.684 0.068
0.335 0.316 0.932
0.665 0.684 0.432
0.891 0.420 0.750
0.823 0.174 0.434
0.335 0.316 0.568
0.987 0.949 0.250
0.471 0.486 0.250
0.013 0.051 0.750
0.529 0.514 0.750
0.000 0.500 0.500
0.000 0.500 0.000
0.500 0.000 0.500
0.500 0.000 0.000